Below is a relaxed structure of Ac3Y2Hg3, with properties calculated at the PBE-GGA level.

CIF file:
```
data_Ac3Y2Hg3
_space_group_name_H-M_alt 'P 1'
_space_group_IT_number 1
_cell_length_a 3.9489
_cell_length_b 5.7028
_cell_length_c 23.4064
_cell_angle_alpha 90.00
_cell_angle_beta 90.00
_cell_angle_gamma 90.00
loop_
_space_group_symop_operation_xyz
'x,y,z'
loop_
_atom_site_label
_atom_site_type_symbol
_atom_site_fract_x
_atom_site_fract_y
_atom_site_fract_z
_atom_site_occupancy
Ac1 Ac 0.0000 0.0000 0.0000 1
Ac2 Ac 0.0000 0.5000 0.1229 1
Ac3 Ac 0.0000 0.5000 0.8771 1
Ac4 Ac 0.5000 0.0000 0.3771 1
Ac5 Ac 0.5000 0.0000 0.6229 1
Ac6 Ac 0.5000 0.5000 0.5000 1
Y1 Y 0.0000 0.0000 0.2338 1
Y2 Y 0.0000 0.0000 0.7662 1
Y3 Y 0.5000 0.5000 0.2662 1
Y4 Y 0.5000 0.5000 0.7338 1
Hg1 Hg 0.0000 0.0000 0.5000 1
Hg2 Hg 0.0000 0.5000 0.3696 1
Hg3 Hg 0.0000 0.5000 0.6304 1
Hg4 Hg 0.5000 0.0000 0.1304 1
Hg5 Hg 0.5000 0.0000 0.8696 1
Hg6 Hg 0.5000 0.5000 0.0000 1
```

Calculated formation energy in meV per atom: -349

=====

Below is a relaxed structure of UTl2HgBr8, with properties calculated at the PBE-GGA level.

CIF file:
```
data_UTl2HgBr8
_space_group_name_H-M_alt 'P 1'
_space_group_IT_number 1
_cell_length_a 6.9780
_cell_length_b 7.2432
_cell_length_c 9.6647
_cell_angle_alpha 89.95
_cell_angle_beta 89.98
_cell_angle_gamma 86.10
loop_
_space_group_symop_operation_xyz
'x,y,z'
loop_
_atom_site_label
_atom_site_type_symbol
_atom_site_fract_x
_atom_site_fract_y
_atom_site_fract_z
_atom_site_occupancy
U1 U 0.0000 0.0000 0.0000 1
Tl1 Tl 0.4993 0.5002 0.2478 1
Tl2 Tl 0.5007 0.4998 0.7522 1
Hg1 Hg 0.0000 0.0000 0.5000 1
Br1 Br 0.2012 0.7028 0.5005 1
Br2 Br 0.2272 0.1362 0.2080 1
Br3 Br 0.2266 0.1372 0.7918 1
Br4 Br 0.2325 0.6666 0.9996 1
Br5 Br 0.7675 0.3334 0.0004 1
Br6 Br 0.7734 0.8628 0.2082 1
Br7 Br 0.7728 0.8638 0.7920 1
Br8 Br 0.7988 0.2972 0.4995 1
```

Formation energy without anion corrections in eV/atom: -0.944

=====

Below is a relaxed structure of PuGeCl, with properties calculated at the PBE-GGA level.

CIF file:
```
data_PuGeCl
_space_group_name_H-M_alt 'P 1'
_space_group_IT_number 1
_cell_length_a 3.2446
_cell_length_b 4.8939
_cell_length_c 18.5639
_cell_angle_alpha 90.00
_cell_angle_beta 90.00
_cell_angle_gamma 90.00
loop_
_space_group_symop_operation_xyz
'x,y,z'
loop_
_atom_site_label
_atom_site_type_symbol
_atom_site_fract_x
_atom_site_fract_y
_atom_site_fract_z
_atom_site_occupancy
Pu1 Pu 0.0000 0.0000 0.1506 1
Pu2 Pu 0.0000 0.0000 0.8494 1
Pu3 Pu 0.5000 0.5000 0.3494 1
Pu4 Pu 0.5000 0.5000 0.6506 1
Ge1 Ge 0.0000 0.2512 0.0000 1
Ge2 Ge 0.0000 0.7488 0.0000 1
Ge3 Ge 0.5000 0.2488 0.5000 1
Ge4 Ge 0.5000 0.7512 0.5000 1
Cl1 Cl 0.0000 0.0000 0.3110 1
Cl2 Cl 0.0000 0.0000 0.6890 1
Cl3 Cl 0.5000 0.5000 0.1890 1
Cl4 Cl 0.5000 0.5000 0.8110 1
```

Formation energy without anion corrections in eV/atom: -0.637

=====

Below is a relaxed structure of K2CuRe, with properties calculated at the PBE-GGA level.

CIF file:
```
data_K2CuRe
_space_group_name_H-M_alt 'P 1'
_space_group_IT_number 1
_cell_length_a 3.9097
_cell_length_b 3.9536
_cell_length_c 11.0549
_cell_angle_alpha 90.00
_cell_angle_beta 90.00
_cell_angle_gamma 90.00
loop_
_space_group_symop_operation_xyz
'x,y,z'
loop_
_atom_site_label
_atom_site_type_symbol
_atom_site_fract_x
_atom_site_fract_y
_atom_site_fract_z
_atom_site_occupancy
K1 K 0.0000 0.0000 0.2462 1
K2 K 0.0000 0.0000 0.7538 1
K3 K 0.5000 0.5000 0.2462 1
K4 K 0.5000 0.5000 0.7538 1
Cu1 Cu 0.0000 0.5000 0.0000 1
Cu2 Cu 0.5000 0.0000 0.0000 1
Re1 Re 0.0000 0.5000 0.5000 1
Re2 Re 0.5000 0.0000 0.5000 1
```

Calculated formation energy in meV per atom: 1182
Polymorph energy (0 for the lowest one) in meV/atom: 278